Record 1
The following is a DFT calculation (PBE-GGA) of an optimized crystal structure of B2TeMoP.

Cell and atoms, written as CIF:
```
data_B2TeMoP
_space_group_name_H-M_alt 'P 1'
_space_group_IT_number 1
_space_group_name_Hall 'P 1'
_cell_length_a 3.942
_cell_length_b 4.999
_cell_length_c 3.942
_cell_angle_alpha 90.00
_cell_angle_beta 90.00
_cell_angle_gamma 90.00
loop_
_atom_site_label
_atom_site_fract_x
_atom_site_fract_y
_atom_site_fract_z
P1 0.000 0.000 0.000
Mo1 0.000 0.500 0.000
Te1 0.500 0.500 0.500
B1 0.000 0.000 0.500
B2 0.500 0.000 0.000
```

Its space group is P4/mmm (123). The total magnetization is 1.26 μB/f.u. The raw formation energy comes out at 1.23 eV/atom. The total energy is -5.314 eV/atom.

=====

Record 2
The following is a DFT calculation (PBE-GGA) of an optimized crystal structure of CdTc4O8.

Cell and atoms, written as CIF:
```
data_CdTc4O8
_space_group_name_H-M_alt 'P 1'
_space_group_IT_number 1
_space_group_name_Hall 'P 1'
_cell_length_a 2.768
_cell_length_b 7.833
_cell_length_c 7.826
_cell_angle_alpha 88.04
_cell_angle_beta 79.81
_cell_angle_gamma 79.82
loop_
_atom_site_label
_atom_site_fract_x
_atom_site_fract_y
_atom_site_fract_z
Cd1 0.511 0.980 0.998
Tc1 0.363 0.463 0.812
Tc2 0.846 0.793 0.514
Tc3 0.176 0.165 0.482
Tc4 0.660 0.496 0.184
O1 0.172 0.348 0.308
O2 0.541 0.287 0.631
O3 0.482 0.671 0.365
O4 0.850 0.611 0.689
O5 0.847 0.339 0.966
O6 0.207 0.946 0.639
O7 0.175 0.620 0.030
O8 0.815 0.013 0.358
```

Its space group is C2/m (12). The total magnetization is 0.00 μB/f.u. The raw formation energy comes out at -1.16 eV/atom. The total energy is -7.476 eV/atom.

=====

Record 3
The following is a DFT calculation (PBE-GGA) of an optimized crystal structure of InRhPbO6.

Cell and atoms, written as CIF:
```
data_InRhPbO6
_space_group_name_H-M_alt 'P 1'
_space_group_IT_number 1
_space_group_name_Hall 'P 1'
_cell_length_a 5.471
_cell_length_b 5.471
_cell_length_c 8.948
_cell_angle_alpha 90.00
_cell_angle_beta 90.00
_cell_angle_gamma 120.00
loop_
_atom_site_label
_atom_site_fract_x
_atom_site_fract_y
_atom_site_fract_z
In1 0.000 0.000 0.000
In2 0.000 0.000 0.500
Rh1 0.667 0.333 0.250
Rh2 0.333 0.667 0.750
Pb1 0.333 0.667 0.250
Pb2 0.667 0.333 0.750
O1 0.667 0.635 0.127
O2 0.968 0.333 0.127
O3 0.333 0.968 0.627
O4 0.032 0.667 0.873
O5 0.365 0.333 0.373
O6 0.968 0.635 0.373
O7 0.635 0.968 0.873
O8 0.667 0.032 0.373
O9 0.032 0.365 0.627
O10 0.365 0.032 0.127
O11 0.635 0.667 0.627
O12 0.333 0.365 0.873
```

Its space group is P-31c (163). The total magnetization is 1.18 μB/f.u. The raw formation energy comes out at -0.84 eV/atom. The total energy is -5.682 eV/atom.